[1]
{"formula": "KRb2Cd3Bi4", "functional": "PBE-GGA", "state": "relaxed", "lattice_angstrom": [[5.272, 0.000, 0.000], [0.000, 5.272, 0.000], [0.000, 0.000, 13.137]], "species": ["K", "Rb", "Rb", "Cd", "Cd", "Cd", "Bi", "Bi", "Bi", "Bi"], "fractional_positions": [[0.000, 0.000, 0.000], [0.000, 0.500, 0.744], [0.500, 0.000, 0.256], [0.000, 0.500, 0.368], [0.500, 0.000, 0.632], [0.500, 0.500, 0.000], [0.000, 0.000, 0.500], [0.000, 0.500, 0.148], [0.500, 0.000, 0.852], [0.500, 0.500, 0.500]], "formation_energy_ev_per_atom": -0.210, "space_group": "No. 115", "dft_energy_ev_per_atom": -2.3406}

=====

[2]
{"formula": "Tb9Y3Tm2", "functional": "PBE-GGA", "state": "relaxed", "lattice_angstrom": [[6.248, 0.000, 0.000], [0.291, 8.659, 0.000], [1.954, 1.429, 8.426]], "species": ["Tb", "Tb", "Tb", "Tb", "Tb", "Tb", "Tb", "Tb", "Tb", "Y", "Y", "Y", "Tm", "Tm"], "fractional_positions": [[0.000, 0.000, 0.000], [0.091, 0.311, 0.197], [0.199, 0.612, 0.400], [0.345, 0.668, 0.996], [0.496, 0.239, 0.416], [0.504, 0.761, 0.584], [0.655, 0.332, 0.004], [0.801, 0.388, 0.600], [0.909, 0.689, 0.803], [0.000, 0.000, 0.500], [0.244, 0.375, 0.775], [0.756, 0.625, 0.225], [0.446, 0.966, 0.198], [0.554, 0.034, 0.802]], "formation_energy_ev_per_atom": 0.116, "space_group": "No. 2", "dft_energy_ev_per_atom": -4.8847}